DFT (PBE-GGA) results for crystalline Nd6Dy3Mg at its relaxed geometry.

Values from the calculation:
Calculated density, Mg/m³: 6.8
Spin magnetization, μB/f.u.: 0.0
Calculated total energy, eV per atom: -4.28
Space group: No. 14
ΔE_f, eV per atom: 0.12

a b c (Å): 5.357 10.516 13.117
angles (deg): 90.00 114.06 90.00
Atoms (fractional coordinates):
1 Nd 0.081 0.174 0.081
2 Nd 0.081 0.326 0.581
3 Nd 0.251 0.568 0.250
4 Nd 0.251 0.932 0.750
5 Nd 0.387 0.212 0.387
6 Nd 0.387 0.288 0.887
7 Nd 0.613 0.712 0.113
8 Nd 0.613 0.788 0.613
9 Nd 0.749 0.068 0.250
10 Nd 0.749 0.432 0.750
11 Nd 0.919 0.674 0.419
12 Nd 0.919 0.826 0.919
13 Dy 0.000 0.000 0.500
14 Dy 0.000 0.500 0.000
15 Dy 0.284 0.620 0.784
16 Dy 0.284 0.880 0.284
17 Dy 0.716 0.120 0.716
18 Dy 0.716 0.380 0.216
19 Mg 0.500 0.000 0.000
20 Mg 0.500 0.500 0.500

=====

DFT (PBE-GGA) results for crystalline Nd2DyMg5 at its relaxed geometry.

Values from the calculation:
Calculated density, Mg/m³: 4.4
Spin magnetization, μB/f.u.: 0.0
Calculated total energy, eV per atom: -2.84
Space group: No. 139
ΔE_f, eV per atom: -0.08

a b c (Å): 8.691 8.691 8.691
angles (deg): 144.78 144.78 50.67
Atoms (fractional coordinates):
1 Nd 0.241 0.241 0.000
2 Nd 0.759 0.759 0.000
3 Dy 0.500 0.500 0.000
4 Mg 0.000 0.000 0.000
5 Mg 0.115 0.615 0.500
6 Mg 0.385 0.885 0.500
7 Mg 0.615 0.115 0.500
8 Mg 0.885 0.385 0.500

=====

Question: The lowest calculated density belongs to which entry?
Answer: Nd2DyMg5